A geometry-optimized C structure. Source: the Alexandria database, functional PBE.

Lattice parameters (Å, degrees): 2.705 7.819 2.511 90.00 90.00 90.00
Space group Cmmm (No. 65)
Asymmetric unit:
C 0.000 0.086 0.000 x4
C 0.000 0.189 0.500 x4

Crystal system: orthorhombic
Uncorrected energy: -70.32 eV for the cell shown
Offset from the most stable computed form: 0.4341 eV per atom
E_form: 0.434 eV per atom
Total magnetization: 0.00 μB/f.u.

---

A geometry-optimized C structure. Source: the Alexandria database, functional PBE.

Lattice parameters (Å, degrees): 2.4684 2.4684 4.5334 90.00 90.00 120.00
Space group P6/mmm (No. 191)
Asymmetric unit:
C 0.3333 0.6667 0.0000 x2

Crystal system: hexagonal
Uncorrected energy: -18.45 eV for the cell shown
Offset from the most stable computed form: 0.0000 eV per atom
E_form: 0.000 eV per atom
Total magnetization: 0.00 μB/f.u.

---

A geometry-optimized C structure. Source: the Alexandria database, functional PBE.

Lattice parameters (Å, degrees): 4.884 5.565 4.276 90.00 90.00 90.00
Space group Cmmm (No. 65)
Asymmetric unit:
C 0.000 0.150 0.181 x8
C 0.250 0.250 0.343 x8

Crystal system: orthorhombic
Uncorrected energy: -139.50 eV for the cell shown
Offset from the most stable computed form: 0.5051 eV per atom
E_form: 0.505 eV per atom
Total magnetization: 0.00 μB/f.u.

---

A geometry-optimized C structure. Source: the Alexandria database, functional PBE.

Lattice parameters (Å, degrees): 5.915 6.340 2.468 90.00 90.00 90.00
Space group Cmcm (No. 63)
Asymmetric unit:
C 0.000 0.071 0.250 x4
C 0.205 0.216 0.250 x8

Crystal system: orthorhombic
Uncorrected energy: -107.82 eV for the cell shown
Offset from the most stable computed form: 0.2391 eV per atom
E_form: 0.239 eV per atom
Total magnetization: 0.00 μB/f.u.